1 | # CuOs2W, single point on PBEsol structure, DFT SCAN
data_CuOs2W
_symmetry_space_group_name_H-M 'P 1'
_symmetry_Int_Tables_number 1
_cell_length_a 2.762
_cell_length_b 2.762
_cell_length_c 7.269
_cell_angle_alpha 90.00
_cell_angle_beta 90.00
_cell_angle_gamma 90.00
loop_
_symmetry_equiv_pos_as_xyz
'x,y,z'
loop_
_atom_site_label
_atom_site_type_symbol
_atom_site_fract_x
_atom_site_fract_y
_atom_site_fract_z
Cu1 Cu 0.000 0.000 0.000
Os1 Os 0.500 0.500 0.239
Os2 Os 0.500 0.500 0.761
W1 W 0.000 0.000 0.500
# Space group ... P4/mmm (123)
# Total magnetic moment ... 0.0000 μB per atom

---

2 | # CuOs2W, single point on PBEsol structure, DFT SCAN
data_CuOs2W
_symmetry_space_group_name_H-M 'P 1'
_symmetry_Int_Tables_number 1
_cell_length_a 2.645
_cell_length_b 2.645
_cell_length_c 9.010
_cell_angle_alpha 90.00
_cell_angle_beta 90.00
_cell_angle_gamma 115.43
loop_
_symmetry_equiv_pos_as_xyz
'x,y,z'
loop_
_atom_site_label
_atom_site_type_symbol
_atom_site_fract_x
_atom_site_fract_y
_atom_site_fract_z
Cu1 Cu 0.000 0.000 0.000
Os1 Os 0.000 0.000 0.500
Os2 Os 0.500 0.500 0.755
W1 W 0.500 0.500 0.248
# Space group ... Cmm2 (35)
# Total magnetic moment ... 0.0002 μB per atom

---

3 | # CuOs2W, single point on PBEsol structure, DFT SCAN
data_CuOs2W
_symmetry_space_group_name_H-M 'P 1'
_symmetry_Int_Tables_number 1
_cell_length_a 4.584
_cell_length_b 4.584
_cell_length_c 4.750
_cell_angle_alpha 98.97
_cell_angle_beta 98.97
_cell_angle_gamma 34.48
loop_
_symmetry_equiv_pos_as_xyz
'x,y,z'
loop_
_atom_site_label
_atom_site_type_symbol
_atom_site_fract_x
_atom_site_fract_y
_atom_site_fract_z
Cu1 Cu 0.000 0.000 0.000
Os1 Os 0.249 0.249 0.764
Os2 Os 0.751 0.751 0.236
W1 W 0.500 0.500 0.500
# Space group ... C2/m (12)
# Total magnetic moment ... 0.0000 μB per atom

---

Most stable structure - 3; separation to the second - 0.094 eV/atom.

---

1 | # CuOs2W, single point on PBEsol structure, DFT SCAN
data_CuOs2W
_symmetry_space_group_name_H-M 'P 1'
_symmetry_Int_Tables_number 1
_cell_length_a 2.657
_cell_length_b 2.657
_cell_length_c 8.861
_cell_angle_alpha 90.00
_cell_angle_beta 90.00
_cell_angle_gamma 114.65
loop_
_symmetry_equiv_pos_as_xyz
'x,y,z'
loop_
_atom_site_label
_atom_site_type_symbol
_atom_site_fract_x
_atom_site_fract_y
_atom_site_fract_z
Cu1 Cu 0.000 0.000 0.000
Os1 Os 0.500 0.500 0.247
Os2 Os 0.500 0.500 0.753
W1 W 0.000 0.000 0.500
# Space group ... Cmmm (65)
# Total magnetic moment ... 0.0001 μB per atom

---

2 | # CuOs2W, single point on PBEsol structure, DFT SCAN
data_CuOs2W
_symmetry_space_group_name_H-M 'P 1'
_symmetry_Int_Tables_number 1
_cell_length_a 4.291
_cell_length_b 4.291
_cell_length_c 4.291
_cell_angle_alpha 60.00
_cell_angle_beta 60.00
_cell_angle_gamma 60.00
loop_
_symmetry_equiv_pos_as_xyz
'x,y,z'
loop_
_atom_site_label
_atom_site_type_symbol
_atom_site_fract_x
_atom_site_fract_y
_atom_site_fract_z
Cu1 Cu 0.000 0.000 0.000
Os1 Os 0.250 0.250 0.250
Os2 Os 0.750 0.750 0.750
W1 W 0.500 0.500 0.500
# Space group ... Fm-3m (225)
# Total magnetic moment ... 0.0000 μB per atom

---

Most stable structure - 2; separation to the second - 0.263 eV/atom.

---

1 | # ZrCuOs, single point on PBEsol structure, DFT SCAN
data_ZrCuOs
_symmetry_space_group_name_H-M 'P 1'
_symmetry_Int_Tables_number 1
_cell_length_a 4.292
_cell_length_b 4.292
_cell_length_c 4.292
_cell_angle_alpha 60.00
_cell_angle_beta 60.00
_cell_angle_gamma 60.00
loop_
_symmetry_equiv_pos_as_xyz
'x,y,z'
loop_
_atom_site_label
_atom_site_type_symbol
_atom_site_fract_x
_atom_site_fract_y
_atom_site_fract_z
Zr1 Zr 0.000 0.000 0.000
Cu1 Cu 0.750 0.750 0.750
Os1 Os 0.250 0.250 0.250
# Space group ... F-43m (216)
# Total magnetic moment ... 0.0000 μB per atom

---

2 | # ZrCuOs, single point on PBEsol structure, DFT SCAN
data_ZrCuOs
_symmetry_space_group_name_H-M 'P 1'
_symmetry_Int_Tables_number 1
_cell_length_a 4.868
_cell_length_b 4.868
_cell_length_c 4.868
_cell_angle_alpha 140.30
_cell_angle_beta 140.30
_cell_angle_gamma 57.40
loop_
_symmetry_equiv_pos_as_xyz
'x,y,z'
loop_
_atom_site_label
_atom_site_type_symbol
_atom_site_fract_x
_atom_site_fract_y
_atom_site_fract_z
Zr1 Zr 0.000 0.000 0.000
Cu1 Cu 0.677 0.677 0.000
Os1 Os 0.332 0.332 0.000
# Space group ... I4mm (107)
# Total magnetic moment ... 0.0008 μB per atom

---

Most stable structure - 2; separation to the second - 0.800 eV/atom.

---

1 | # CuP3, single point on PBEsol structure, DFT SCAN
data_CuP3
_symmetry_space_group_name_H-M 'P 1'
_symmetry_Int_Tables_number 1
_cell_length_a 2.540
_cell_length_b 3.982
_cell_length_c 5.448
_cell_angle_alpha 90.00
_cell_angle_beta 90.00
_cell_angle_gamma 90.00
loop_
_symmetry_equiv_pos_as_xyz
'x,y,z'
loop_
_atom_site_label
_atom_site_type_symbol
_atom_site_fract_x
_atom_site_fract_y
_atom_site_fract_z
Cu1 Cu 0.000 0.000 0.000
P1 P 0.000 0.000 0.500
P2 P 0.500 0.500 0.212
P3 P 0.500 0.500 0.788
# Space group ... Pmmm (47)
# Total magnetic moment ... 0.0000 μB per atom

---

2 | # CuP3, single point on PBEsol structure, DFT SCAN
data_CuP3
_symmetry_space_group_name_H-M 'P 1'
_symmetry_Int_Tables_number 1
_cell_length_a 4.543
_cell_length_b 4.543
_cell_length_c 2.579
_cell_angle_alpha 90.00
_cell_angle_beta 90.00
_cell_angle_gamma 90.00
loop_
_symmetry_equiv_pos_as_xyz
'x,y,z'
loop_
_atom_site_label
_atom_site_type_symbol
_atom_site_fract_x
_atom_site_fract_y
_atom_site_fract_z
Cu1 Cu 0.000 0.000 0.000
P1 P 0.000 0.500 0.500
P2 P 0.500 0.000 0.500
P3 P 0.500 0.500 0.000
# Space group ... P4/mmm (123)
# Total magnetic moment ... 0.0000 μB per atom

---

Most stable structure - 2; separation to the second - 0.073 eV/atom.

---

1 | # CuP2Pt, single point on PBEsol structure, DFT SCAN
data_CuP2Pt
_symmetry_space_group_name_H-M 'P 1'
_symmetry_Int_Tables_number 1
_cell_length_a 3.897
_cell_length_b 3.891
_cell_length_c 3.957
_cell_angle_alpha 90.00
_cell_angle_beta 90.01
_cell_angle_gamma 90.00
loop_
_symmetry_equiv_pos_as_xyz
'x,y,z'
loop_
_atom_site_label
_atom_site_type_symbol
_atom_site_fract_x
_atom_site_fract_y
_atom_site_fract_z
Cu1 Cu 0.000 0.000 0.000
P1 P 0.313 0.500 0.798
P2 P 0.687 0.500 0.202
Pt1 Pt 0.500 0.000 0.500
# Space group ... P2/m (10)
# Total magnetic moment ... 0.0000 μB per atom

---

2 | # CuP2Pt, single point on PBEsol structure, DFT SCAN
data_CuP2Pt
_symmetry_space_group_name_H-M 'P 1'
_symmetry_Int_Tables_number 1
_cell_length_a 4.193
_cell_length_b 4.193
_cell_length_c 3.204
_cell_angle_alpha 90.00
_cell_angle_beta 90.00
_cell_angle_gamma 103.09
loop_
_symmetry_equiv_pos_as_xyz
'x,y,z'
loop_
_atom_site_label
_atom_site_type_symbol
_atom_site_fract_x
_atom_site_fract_y
_atom_site_fract_z
Cu1 Cu 0.000 0.000 0.000
P1 P 0.000 0.500 0.500
P2 P 0.500 0.000 0.500
Pt1 Pt 0.500 0.500 0.000
# Space group ... Cmmm (65)
# Total magnetic moment ... 0.0000 μB per atom

---

Most stable structure - 1; separation to the second - 0.352 eV/atom.

---

1 | # CuP2Rh, single point on PBEsol structure, DFT SCAN
data_CuP2Rh
_symmetry_space_group_name_H-M 'P 1'
_symmetry_Int_Tables_number 1
_cell_length_a 2.641
_cell_length_b 4.424
_cell_length_c 4.698
_cell_angle_alpha 90.00
_cell_angle_beta 90.00
_cell_angle_gamma 90.00
loop_
_symmetry_equiv_pos_as_xyz
'x,y,z'
loop_
_atom_site_label
_atom_site_type_symbol
_atom_site_fract_x
_atom_site_fract_y
_atom_site_fract_z
Cu1 Cu 0.000 0.000 0.000
P1 P 0.000 0.000 0.500
P2 P 0.000 0.500 0.172
Rh1 Rh 0.000 0.500 0.675
# Space group ... Pmm2 (25)
# Total magnetic moment ... 0.0000 μB per atom

---

2 | # CuP2Rh, single point on PBEsol structure, DFT SCAN
data_CuP2Rh
_symmetry_space_group_name_H-M 'P 1'
_symmetry_Int_Tables_number 1
_cell_length_a 7.309
_cell_length_b 7.309
_cell_length_c 7.309
_cell_angle_alpha 23.00
_cell_angle_beta 23.00
_cell_angle_gamma 23.00
loop_
_symmetry_equiv_pos_as_xyz
'x,y,z'
loop_
_atom_site_label
_atom_site_type_symbol
_atom_site_fract_x
_atom_site_fract_y
_atom_site_fract_z
Cu1 Cu 0.000 0.000 0.000
P1 P 0.250 0.250 0.250
P2 P 0.750 0.750 0.750
Rh1 Rh 0.500 0.500 0.500
# Space group ... R-3m (166)
# Total magnetic moment ... 0.0000 μB per atom

---

3 | # CuP2Rh, single point on PBEsol structure, DFT SCAN
data_CuP2Rh
_symmetry_space_group_name_H-M 'P 1'
_symmetry_Int_Tables_number 1
_cell_length_a 2.842
_cell_length_b 2.842
_cell_length_c 6.438
_cell_angle_alpha 90.00
_cell_angle_beta 90.00
_cell_angle_gamma 90.00
loop_
_symmetry_equiv_pos_as_xyz
'x,y,z'
loop_
_atom_site_label
_atom_site_type_symbol
_atom_site_fract_x
_atom_site_fract_y
_atom_site_fract_z
Cu1 Cu 0.000 0.000 0.000
P1 P 0.500 0.500 0.259
P2 P 0.500 0.500 0.741
Rh1 Rh 0.000 0.000 0.500
# Space group ... P4/mmm (123)
# Total magnetic moment ... 0.0000 μB per atom

---

Most stable structure - 2; separation to the second - 0.012 eV/atom.

---

1 | # Cu2SbP, single point on PBEsol structure, DFT SCAN
data_Cu2SbP
_symmetry_space_group_name_H-M 'P 1'
_symmetry_Int_Tables_number 1
_cell_length_a 3.852
_cell_length_b 3.852
_cell_length_c 5.624
_cell_angle_alpha 104.86
_cell_angle_beta 104.86
_cell_angle_gamma 52.69
loop_
_symmetry_equiv_pos_as_xyz
'x,y,z'
loop_
_atom_site_label
_atom_site_type_symbol
_atom_site_fract_x
_atom_site_fract_y
_atom_site_fract_z
Cu1 Cu 0.237 0.237 0.180
Cu2 Cu 0.763 0.763 0.820
Sb1 Sb 0.000 0.000 0.500
P1 P 0.500 0.500 0.000
# Space group ... C2/m (12)
# Total magnetic moment ... 0.0000 μB per atom

---

2 | # Cu2SbP, single point on PBEsol structure, DFT SCAN
data_Cu2SbP
_symmetry_space_group_name_H-M 'P 1'
_symmetry_Int_Tables_number 1
_cell_length_a 3.023
_cell_length_b 3.023
_cell_length_c 7.036
_cell_angle_alpha 90.00
_cell_angle_beta 90.00
_cell_angle_gamma 98.47
loop_
_symmetry_equiv_pos_as_xyz
'x,y,z'
loop_
_atom_site_label
_atom_site_type_symbol
_atom_site_fract_x
_atom_site_fract_y
_atom_site_fract_z
Cu1 Cu 0.000 0.000 0.193
Cu2 Cu 0.000 0.000 0.807
Sb1 Sb 0.500 0.500 0.500
P1 P 0.500 0.500 0.000
# Space group ... Cmmm (65)
# Total magnetic moment ... 0.0000 μB per atom

---

Most stable structure - 1; separation to the second - 0.234 eV/atom.